This record from Alexandria via LeMat-Bulk describes a relaxed structure of NaZn2SnAu4. The functional is GGA-PBE.

CIF file:
```
data_NaZn2SnAu4
_space_group_name_H-M_alt 'R -3 m'
_space_group_IT_number 166
_space_group_name_Hall '-R 3 2"'
_cell_length_a 4.5860
_cell_length_b 4.5860
_cell_length_c 25.2224
_cell_angle_alpha 90.00
_cell_angle_beta 90.00
_cell_angle_gamma 120.00
loop_
_atom_site_label
_atom_site_type_symbol
_atom_site_fract_x
_atom_site_fract_y
_atom_site_fract_z
Na1 Na 0.0000 0.0000 0.0000
Zn1 Zn 0.0000 0.0000 0.2702
Sn1 Sn 0.0000 0.0000 0.5000
Au1 Au 0.0000 0.0000 0.1160
Au2 Au 0.0000 0.0000 0.3861
```

Properties
ΔH_f (0 K) = -1.25 eV/f.u.
Spin magnetization = 0.00 Bohr magnetons per cell


This record from Alexandria via LeMat-Bulk describes a relaxed structure of TaNiTeN2. The functional is GGA-PBE.

CIF file:
```
data_TaNiTeN2
_space_group_name_H-M_alt 'P 4/m m m'
_space_group_IT_number 123
_space_group_name_Hall '-P 4 2'
_cell_length_a 3.896
_cell_length_b 3.896
_cell_length_c 4.797
_cell_angle_alpha 90.00
_cell_angle_beta 90.00
_cell_angle_gamma 90.00
loop_
_atom_site_label
_atom_site_type_symbol
_atom_site_fract_x
_atom_site_fract_y
_atom_site_fract_z
Ta1 Ta 0.000 0.000 0.000
Ni1 Ni 0.500 0.500 0.500
Te1 Te 0.500 0.500 0.000
N1 N 0.000 0.500 0.500
```

Properties
Spin magnetization = 0.00 Bohr magnetons per cell
E_form (uncorrected) = 34.5 kcal/mol of atoms


This record from Alexandria via LeMat-Bulk describes a relaxed structure of ZrTlCrPd2. The functional is GGA-PBE.

CIF file:
```
data_ZrTlCrPd2
_space_group_name_H-M_alt 'P 4/m m m'
_space_group_IT_number 123
_space_group_name_Hall '-P 4 2'
_cell_length_a 4.930
_cell_length_b 4.930
_cell_length_c 5.332
_cell_angle_alpha 90.00
_cell_angle_beta 90.00
_cell_angle_gamma 90.00
loop_
_atom_site_label
_atom_site_type_symbol
_atom_site_fract_x
_atom_site_fract_y
_atom_site_fract_z
Zr1 Zr 0.000 0.000 0.000
Tl1 Tl 0.000 0.000 0.500
Cr1 Cr 0.500 0.500 0.000
Pd1 Pd 0.000 0.500 0.500
```

Properties
ΔH_f (0 K) = 8.37 eV/f.u.
Spin magnetization = 0.06 Bohr magnetons per cell


This record from Alexandria via LeMat-Bulk describes a relaxed structure of LaEr2O. The functional is GGA-PBE.

CIF file:
```
data_LaEr2O
_space_group_name_H-M_alt 'P 4/m m m'
_space_group_IT_number 123
_space_group_name_Hall '-P 4 2'
_cell_length_a 3.183
_cell_length_b 3.183
_cell_length_c 8.878
_cell_angle_alpha 90.00
_cell_angle_beta 90.00
_cell_angle_gamma 90.00
loop_
_atom_site_label
_atom_site_type_symbol
_atom_site_fract_x
_atom_site_fract_y
_atom_site_fract_z
La1 La 0.000 0.000 0.000
Er1 Er 0.500 0.500 0.327
O1 O 0.000 0.000 0.500
```

Properties
Spin magnetization = 0.00 Bohr magnetons per cell
E_form (uncorrected) = -18.0 kcal/mol of atoms


Repeat the first record exactly.
This record from Alexandria via LeMat-Bulk describes a relaxed structure of NaZn2SnAu4. The functional is GGA-PBE.

CIF file:
```
data_NaZn2SnAu4
_space_group_name_H-M_alt 'R -3 m'
_space_group_IT_number 166
_space_group_name_Hall '-R 3 2"'
_cell_length_a 4.5860
_cell_length_b 4.5860
_cell_length_c 25.2224
_cell_angle_alpha 90.00
_cell_angle_beta 90.00
_cell_angle_gamma 120.00
loop_
_atom_site_label
_atom_site_type_symbol
_atom_site_fract_x
_atom_site_fract_y
_atom_site_fract_z
Na1 Na 0.0000 0.0000 0.0000
Zn1 Zn 0.0000 0.0000 0.2702
Sn1 Sn 0.0000 0.0000 0.5000
Au1 Au 0.0000 0.0000 0.1160
Au2 Au 0.0000 0.0000 0.3861
```

Properties
ΔH_f (0 K) = -1.25 eV/f.u.
Spin magnetization = 0.00 Bohr magnetons per cell


What is the formula in the third record? ZrTlCrPd2


Which formula does entry 3 have? ZrTlCrPd2